# RbZn2Br2

A relaxed structure of RbZn2Br2 (PBE, the Alexandria database).

Cell lengths 3.8930, 3.8930, 18.7246 Å; angles 90.00, 90.00, 90.00 degrees
Space group I4/mmm (No. 139)
Unique sites:
Rb (0.0000, 0.0000, 0.0000) x2
Zn (0.0000, 0.5000, 0.2500) x4
Br (0.0000, 0.0000, 0.3872) x4

Summary:
The final energy comes out at -19.94 eV for the cell shown. The energy relative to the lowest polymorph listed for this composition comes out at 0 meV per atom. The uncorrected formation energy comes out at -60 kJ/mol of atoms. The value obtained for the total magnetization is 0.000 μB per formula unit.